# PBE RbI2, optimized geometry
# - distance to the lowest polymorph of the same formula (kJ per mole of atoms) = 0.0
# - crystal system = orthorhombic
# - energy relative to the elements, uncorrected (meV/atom) = -917
# - energy (eV/cell) = -27.3
# - M_tot (μB per cell) = 0.00
data_RbI2
_cell_length_a 9.203
_cell_length_b 5.490
_cell_length_c 11.831
_cell_angle_alpha 90.00
_cell_angle_beta 90.00
_cell_angle_gamma 90.00
_space_group_name_H-M_alt 'P n m a'
_space_group_IT_number 62
loop_
_space_group_symop_operation_xyz
'x,y,z'
'-x,-y,-z'
'-x+1/2,-y,z+1/2'
'x+1/2,y,-z+1/2'
'x+1/2,-y+1/2,-z+1/2'
'-x+1/2,y+1/2,z+1/2'
'-x,y+1/2,-z'
'x,-y+1/2,z'
loop_
_atom_site_label
_atom_site_type_symbol
_atom_site_fract_x
_atom_site_fract_y
_atom_site_fract_z
Rb1 Rb 0.142 0.250 0.156
I1 I 0.042 0.250 0.477
I2 I 0.136 0.250 0.836